Computed, not measured: a crystal of SrTl2Te relaxed with PBEsol at the SCAN level of DFT.

Cell and atoms, written as CIF:
```
data_SrTl2Te
_cell_length_a 4.234
_cell_length_b 4.234
_cell_length_c 6.981
_cell_angle_alpha 90.00
_cell_angle_beta 90.00
_cell_angle_gamma 90.00
_symmetry_space_group_name_H-M 'P 1'
_symmetry_Int_Tables_number 1
_symmetry_space_group_name_Hall 'P 1'
loop_
_atom_site_label
_atom_site_fract_x
_atom_site_fract_y
_atom_site_fract_z
_atom_site_occupancy
Sr1 0.000 0.000 0.530 1
Te1 0.500 0.500 0.722 1
Tl1 0.000 0.000 0.015 1
Tl2 0.500 0.500 0.234 1
```

The density is 8.28 g/cm³. The calculation puts the offset from the most stable computed form at 0.024 eV/atom. Its total energy is -1.9016 Ha/atom. The formation energy (no corrections) comes out at -0.69 eV per atom. As for the space group: P4mm.

Computed, not measured: a crystal of Os2PdF relaxed with PBEsol at the SCAN level of DFT.

Cell and atoms, written as CIF:
```
data_Os2PdF
_cell_length_a 4.207
_cell_length_b 4.207
_cell_length_c 4.207
_cell_angle_alpha 60.00
_cell_angle_beta 60.00
_cell_angle_gamma 60.00
_symmetry_space_group_name_H-M 'P 1'
_symmetry_Int_Tables_number 1
_symmetry_space_group_name_Hall 'P 1'
loop_
_atom_site_label
_atom_site_fract_x
_atom_site_fract_y
_atom_site_fract_z
_atom_site_occupancy
Os1 0.250 0.250 0.250 1
Os2 0.750 0.750 0.750 1
Pd1 0.500 0.500 0.500 1
F1 0.000 0.000 0.000 1
```

The density is 15.96 g/cm³. Its total energy is -1.6239 Ha/atom. The formation energy (no corrections) comes out at 0.83 eV per atom. As for the space group: Fm-3m.

Computed, not measured: a crystal of KSr3La relaxed with PBEsol at the SCAN level of DFT.

Cell and atoms, written as CIF:
```
data_KSr3La
_cell_length_a 6.334
_cell_length_b 6.334
_cell_length_c 6.334
_cell_angle_alpha 90.00
_cell_angle_beta 90.00
_cell_angle_gamma 90.00
_symmetry_space_group_name_H-M 'P 1'
_symmetry_Int_Tables_number 1
_symmetry_space_group_name_Hall 'P 1'
loop_
_atom_site_label
_atom_site_fract_x
_atom_site_fract_y
_atom_site_fract_z
_atom_site_occupancy
Sr1 0.000 0.500 0.000 1
Sr2 0.000 0.000 0.500 1
Sr3 0.500 0.000 0.000 1
K1 0.000 0.000 0.000 1
La1 0.500 0.500 0.500 1
```

The density is 2.88 g/cm³. Its formation energy is 0.73 eV/atom. Its total energy is -0.8425 Ha/atom. As for the space group: Pm-3m.

The evaluated DOS at the Fermi energy for the records listed, in turn: 1.55 3.33 4.63 states/eV per cell.